A plane-wave DFT calculation with PBE with a Hubbard U was carried out for an optimized crystal structure of CsMnBi2F.

Lattice parameters (Å, degrees): 5.1911 5.1911 8.6316 90.00 90.00 90.00
With the nearest neighbours (Å) after each atom.
Fractional positions:
Cs 0.0000 0.0000 0.0000  4 F 3.67
Mn 0.0000 0.0000 0.5000  4 Bi 2.60
Bi 0.0000 0.5000 0.5000  2 Mn 2.60
Bi 0.5000 0.0000 0.5000  2 Mn 2.60
F 0.5000 0.5000 0.0000  4 Cs 3.67

Summary:
Its total energy is -19.32 eV for the cell shown.